The following is a PBE-GGA calculation of a relaxed structure of YNpPt, from Alexandria.

The value obtained for the raw total energy is -209.73 eV per cell. The size of the total moment is 1.6022 μB per atom. As for the density: 10.27 g cm⁻³.

The space group is Cmce (No. 64) and the conventional cell measures 8.789, 7.190 and 10.666 Å, with angles of 90.00, 90.00 and 90.00 degrees. The inequivalent atoms are Y at (0.204, 0.000, 0.000), Np at (0.000, 0.154, 0.286) and Pt at (0.000, 0.192, 0.549).

***

The following is a PBE-GGA calculation of a relaxed structure of Nd12InRu6, from Alexandria.

The value obtained for the raw total energy is -238.33 eV per cell. The size of the total moment is 0.0000 μB per atom. As for the density: 7.74 g cm⁻³.

The space group is Im-3 (No. 204) and the conventional cell measures 10.171, 10.171 and 10.171 Å, with angles of 90.00, 90.00 and 90.00 degrees. The inequivalent atoms are Nd at (0.000, 0.298, 0.196), In at (0.000, 0.000, 0.000) and Ru at (0.000, 0.121, 0.500).

***

Values of energy relative to the elements, in order: -0.770 -3.558, all in eV/f.u..